# 1
As2PSe after structural relaxation. Source: Alexandria, functional PBE.

Lattice parameters (Å, degrees): 4.205 4.205 8.814 90.00 90.00 131.32
Element x y z (fractional)
As 0.000 0.000 0.000
As 0.500 0.500 0.303
P 0.500 0.500 0.834
Se 0.000 0.000 0.490

Output
For the magnetic moment, the calculation gives 0.00 μB per formula unit. The value obtained for the total DFT energy (no corrections) is -4.187 eV/atom. The value obtained for the offset from the most stable computed form is 22.8 kJ/mol of atoms. The uncorrected formation energy is 0.36 eV/atom.

# 2
AsP3Se after structural relaxation. Source: Alexandria, functional PBE.

Lattice parameters (Å, degrees): 4.719 4.719 4.719 90.00 90.00 90.00
Element x y z (fractional)
As 0.000 0.000 0.000
P 0.000 0.000 0.500
P 0.000 0.500 0.000
P 0.500 0.000 0.000
Se 0.500 0.500 0.500

Output
For the magnetic moment, the calculation gives 0.00 μB per formula unit. The value obtained for the total DFT energy (no corrections) is -3.720 eV/atom. The value obtained for the offset from the most stable computed form is 0.0 kJ/mol of atoms. The uncorrected formation energy is 1.15 eV/atom.

# 3
AsPSe4 after structural relaxation. Source: Alexandria, functional PBE.

Lattice parameters (Å, degrees): 7.608 7.608 10.275 96.45 96.45 129.91
Element x y z (fractional)
As 0.128 0.872 0.750
As 0.872 0.128 0.250
P 0.393 0.607 0.250
P 0.607 0.393 0.750
Se 0.201 0.227 0.148
Se 0.201 0.581 0.402
Se 0.227 0.201 0.648
Se 0.419 0.799 0.098
Se 0.581 0.201 0.902
Se 0.773 0.799 0.352
Se 0.799 0.419 0.598
Se 0.799 0.773 0.852

Output
For the magnetic moment, the calculation gives 0.00 μB per formula unit. The value obtained for the total DFT energy (no corrections) is -4.007 eV/atom. The value obtained for the offset from the most stable computed form is 0.0 kJ/mol of atoms. The uncorrected formation energy is -0.01 eV/atom.

# 4
AsP2Se after structural relaxation. Source: Alexandria, functional PBE.

Lattice parameters (Å, degrees): 3.721 3.721 5.561 90.00 90.00 90.00
Element x y z (fractional)
As 0.000 0.000 0.000
P 0.000 0.000 0.429
P 0.500 0.500 0.447
Se 0.500 0.500 0.947

Output
For the magnetic moment, the calculation gives 0.00 μB per formula unit. The value obtained for the total DFT energy (no corrections) is -4.474 eV/atom. The value obtained for the offset from the most stable computed form is 9.3 kJ/mol of atoms. The uncorrected formation energy is 0.26 eV/atom.